Below is crystalline TaSi at its relaxed geometry, with properties calculated at the GGA-PBE level.

It has space group I4/m (No. 87), with a = 7.370 Å, b = 7.370 Å, c = 5.082 Å, α = 90.00°, β = 90.00° and γ = 90.00°. The distinct sites, in fractional coordinates, are Ta at (0.074, 0.690, 0.000) and Si at (0.082, 0.774, 0.500).

Its calculated volume is 17.2 A^3/atom. Its spin magnetization is 0.00 μB/cell. The uncorrected formation energy comes out at 0.19 eV per formula unit. The calculation puts the mass density at 10.062 g/cm³. The value obtained for the energy is -8.542 eV/atom.

Below is crystalline ThCuRu at its relaxed geometry, with properties calculated at the GGA-PBE level.

It has space group P-6m2 (No. 187), with a = 4.3222 Å, b = 4.3222 Å, c = 3.7415 Å, α = 90.00°, β = 90.00° and γ = 120.00°. The distinct sites, in fractional coordinates, are Th at (0.0000, 0.0000, 0.0000), Cu at (0.3333, 0.6667, 0.5000) and Ru at (0.6667, 0.3333, 0.5000).

Its calculated volume is 20.2 A^3/atom. Its spin magnetization is 0.00 μB/cell. As for the energy above the lowest structure with this stoichiometry: 0.130 eV/atom. The calculation puts the mass density at 10.881 g/cm³. The value obtained for the energy is -7.111 eV/atom. The formation energy comes out at -52 kJ/mol of formula units.

Below is crystalline Zr2VIrPb at its relaxed geometry, with properties calculated at the GGA-PBE level.

It has space group P4/mmm (No. 123), with a = 5.290 Å, b = 5.290 Å, c = 4.847 Å, α = 90.00°, β = 90.00° and γ = 90.00°. The distinct sites, in fractional coordinates, are Zr at (0.000, 0.500, 0.000), V at (0.000, 0.000, 0.500), Ir at (0.500, 0.500, 0.500) and Pb at (0.000, 0.000, 0.000).

Its calculated volume is 27.1 A^3/atom. Its spin magnetization is 2.92 μB/cell. The calculation puts the mass density at 7.747 g/cm³. The value obtained for the energy is -6.070 eV/atom. The formation energy comes out at 814 kJ/mol of formula units.

Below is crystalline Pm3Ge3Au2 at its relaxed geometry, with properties calculated at the GGA-PBE level.

It has space group Cmcm (No. 63), with a = 4.449 Å, b = 11.022 Å, c = 14.772 Å, α = 90.00°, β = 90.00° and γ = 90.00°. The distinct sites, in fractional coordinates, are Pm at (0.000, 0.083, 0.113), Pm at (0.000, 0.361, 0.250), Ge at (0.000, 0.352, 0.750), Ge at (0.000, 0.394, 0.041) and Au at (0.000, 0.210, 0.597).

Its calculated volume is 22.6 A^3/atom. Its spin magnetization is 2.65 μB/cell. The calculation puts the mass density at 9.598 g/cm³. The value obtained for the energy is -5.131 eV/atom. The formation energy comes out at -617 kJ/mol of formula units.

Below is crystalline YMgCu at its relaxed geometry, with properties calculated at the GGA-PBE level.

It has space group Pnma (No. 62), with a = 6.991 Å, b = 5.189 Å, c = 7.543 Å, α = 90.00°, β = 90.00° and γ = 90.00°. The distinct sites, in fractional coordinates, are Y at (0.137, 0.250, 0.077), Mg at (0.121, 0.250, 0.494) and Cu at (0.124, 0.750, 0.251).

Its calculated volume is 22.8 A^3/atom. Its spin magnetization is 0.00 μB/cell. As for the energy above the lowest structure with this stoichiometry: 0.216 eV/atom. The calculation puts the mass density at 4.290 g/cm³. The value obtained for the energy is -4.055 eV/atom. The formation energy comes out at -1 kJ/mol of formula units.

Below is crystalline NaCeDyS4 at its relaxed geometry, with properties calculated at the GGA-PBE level.

It has space group Imma (No. 74), with a = 8.036 Å, b = 8.362 Å, c = 11.517 Å, α = 90.00°, β = 90.00° and γ = 90.00°. The distinct sites, in fractional coordinates, are Na at (0.000, 0.250, 0.134), Ce at (0.000, 0.000, 0.500), Dy at (0.250, 0.250, 0.750), S at (0.000, 0.027, 0.736) and S at (0.223, 0.250, 0.511).

Its calculated volume is 27.6 A^3/atom. Its spin magnetization is 0.00 μB/cell. The uncorrected formation energy comes out at -12.47 eV per formula unit. The calculation puts the mass density at 3.895 g/cm³. The value obtained for the energy is -5.833 eV/atom.

Below is crystalline Tm2Sc3Co2 at its relaxed geometry, with properties calculated at the GGA-PBE level.

It has space group C2/m (No. 12), with a = 11.299 Å, b = 3.502 Å, c = 8.376 Å, α = 90.00°, β = 116.69° and γ = 90.00°. The distinct sites, in fractional coordinates, are Tm at (0.163, 0.000, 0.300), Sc at (0.000, 0.500, 0.500), Sc at (0.122, 0.500, 0.931) and Co at (0.168, 0.000, 0.736).

Its calculated volume is 21.1 A^3/atom. Its spin magnetization is 0.00 μB/cell. As for the energy above the lowest structure with this stoichiometry: 0.000 eV/atom. The calculation puts the mass density at 6.625 g/cm³. The value obtained for the energy is -6.243 eV/atom. The formation energy comes out at -150 kJ/mol of formula units.

Below is crystalline BeVTe at its relaxed geometry, with properties calculated at the GGA-PBE level.

It has space group P1 (No. 1), with a = 3.406 Å, b = 3.454 Å, c = 9.305 Å, α = 79.68°, β = 81.49° and γ = 90.00°. The distinct sites, in fractional coordinates, are Be at (0.000, 0.000, 0.000), Be at (0.049, 0.567, 0.860), V at (0.263, 0.685, 0.617), V at (0.580, 0.103, 0.783), Te at (0.464, 0.465, 0.076) and Te at (0.804, 0.256, 0.471).

Its calculated volume is 17.7 A^3/atom. Its spin magnetization is 0.00 μB/cell. The uncorrected formation energy comes out at 0.23 eV per formula unit. As for the energy above the lowest structure with this stoichiometry: 0.242 eV/atom. The calculation puts the mass density at 5.850 g/cm³. The value obtained for the energy is -5.253 eV/atom.

Below is crystalline CaPAuCl2 at its relaxed geometry, with properties calculated at the GGA-PBE level.

It has space group P4/mmm (No. 123), with a = 5.138 Å, b = 5.138 Å, c = 4.862 Å, α = 90.00°, β = 90.00° and γ = 90.00°. The distinct sites, in fractional coordinates, are Ca at (0.000, 0.000, 0.000), P at (0.500, 0.500, 0.000), Au at (0.500, 0.500, 0.500) and Cl at (0.000, 0.500, 0.500).

Its calculated volume is 25.7 A^3/atom. Its spin magnetization is 0.97 μB/cell. The uncorrected formation energy comes out at -1.81 eV per formula unit. As for the energy above the lowest structure with this stoichiometry: 0.000 eV/atom. The calculation puts the mass density at 4.384 g/cm³. The value obtained for the energy is -3.238 eV/atom.

Below is crystalline La2TlCoHg at its relaxed geometry, with properties calculated at the GGA-PBE level.

It has space group P4/mmm (No. 123), with a = 5.201 Å, b = 5.201 Å, c = 5.105 Å, α = 90.00°, β = 90.00° and γ = 90.00°. The distinct sites, in fractional coordinates, are La at (0.000, 0.500, 0.000), Tl at (0.000, 0.000, 0.500), Co at (0.500, 0.500, 0.000) and Hg at (0.500, 0.500, 0.500).

Its calculated volume is 27.6 A^3/atom. Its spin magnetization is 0.00 μB/cell. As for the energy above the lowest structure with this stoichiometry: 0.004 eV/atom. The calculation puts the mass density at 8.920 g/cm³. The value obtained for the energy is -4.216 eV/atom. The formation energy comes out at -140 kJ/mol of formula units.

Below is crystalline AcZnGa at its relaxed geometry, with properties calculated at the GGA-PBE level.

It has space group F-43m (No. 216), with a = 6.912 Å, b = 6.912 Å, c = 6.912 Å, α = 90.00°, β = 90.00° and γ = 90.00°. The distinct sites, in fractional coordinates, are Ac at (0.000, 0.000, 0.000), Zn at (0.250, 0.250, 0.750) and Ga at (0.000, 0.000, 0.500).

Its calculated volume is 27.5 A^3/atom. Its spin magnetization is 0.00 μB/cell. As for the energy above the lowest structure with this stoichiometry: 0.155 eV/atom. The calculation puts the mass density at 7.283 g/cm³. The value obtained for the energy is -3.111 eV/atom. The formation energy comes out at -89 kJ/mol of formula units.

Below is crystalline Te3IrPb at its relaxed geometry, with properties calculated at the GGA-PBE level.

It has space group Pm-3m (No. 221), with a = 5.755 Å, b = 5.755 Å, c = 5.755 Å, α = 90.00°, β = 90.00° and γ = 90.00°. The distinct sites, in fractional coordinates, are Te at (0.000, 0.000, 0.500), Ir at (0.500, 0.500, 0.500) and Pb at (0.000, 0.000, 0.000).

Its calculated volume is 38.1 A^3/atom. Its spin magnetization is 2.90 μB/cell. The uncorrected formation energy comes out at 8.21 eV per formula unit. As for the energy above the lowest structure with this stoichiometry: 1.357 eV/atom. The calculation puts the mass density at 6.814 g/cm³. The value obtained for the energy is -2.757 eV/atom.

Repeat the seventh record exactly.
Below is crystalline Tm2Sc3Co2 at its relaxed geometry, with properties calculated at the GGA-PBE level.

It has space group C2/m (No. 12), with a = 11.299 Å, b = 3.502 Å, c = 8.376 Å, α = 90.00°, β = 116.69° and γ = 90.00°. The distinct sites, in fractional coordinates, are Tm at (0.163, 0.000, 0.300), Sc at (0.000, 0.500, 0.500), Sc at (0.122, 0.500, 0.931) and Co at (0.168, 0.000, 0.736).

Its calculated volume is 21.1 A^3/atom. Its spin magnetization is 0.00 μB/cell. As for the energy above the lowest structure with this stoichiometry: 0.000 eV/atom. The calculation puts the mass density at 6.625 g/cm³. The value obtained for the energy is -6.243 eV/atom. The formation energy comes out at -150 kJ/mol of formula units.

> Which of these has the highest energy?

Te3IrPb